1.
Computed, not measured: a relaxed NdNiAsH crystal at the PBE level of DFT.

Unit cell a=4.1390 b=4.1396 c=4.1170 alpha=90.00 beta=90.00 gamma=120.00
Last column: nearest neighbours and their distance in Å.
Atoms (fractional coordinates):
1 H 0.2386 0.4772 0.2531  1 Ni 1.61
2 Ni 0.2386 0.4771 0.8612  1 H 1.61
3 As 0.9053 0.8105 0.8020  3 Ni 2.40
4 Nd 0.5719 0.1438 0.3228  3 H 2.41

Output
As for the space group: P3m1. Its energy is -5.53 eV/atom. The density of states at the Fermi level is 1.7 states/eV/f.u.

=====

2.
Computed, not measured: a relaxed Zr2BiBSe crystal at the PBE level of DFT.

Unit cell a=5.5335 b=4.2926 c=5.5335 alpha=90.00 beta=90.00 gamma=90.00
Last column: nearest neighbours and their distance in Å.
Atoms (fractional coordinates):
1 Bi 0.0000 0.0000 0.0000  2 B 2.15
2 Zr 0.0000 0.0000 0.5000  2 Bi 2.77
3 Zr 0.5000 0.0000 0.0000  2 Bi 2.77
4 B 0.0000 0.5000 0.0000  2 Bi 2.15
5 Se 0.5000 0.5000 0.5000  8 Zr 3.50, 4 B 3.91

Output
As for the space group: P4/mmm. Its energy is -4.98 eV/atom. The density of states at the Fermi level is 3.2 states/eV/f.u.

=====

3.
Computed, not measured: a relaxed K12Hg6Pb crystal at the PBE level of DFT.

Unit cell a=10.3991 b=10.3991 c=10.3991 alpha=109.47 beta=109.47 gamma=109.47
Last column: nearest neighbours and their distance in Å.
Atoms (fractional coordinates):
1 K 0.4640 0.1798 0.2842  3 Hg 3.49-3.69
2 K 0.8202 0.7158 0.5360  3 Hg 3.49-3.69
3 K 0.1044 0.8202 0.2842  3 Hg 3.49-3.69
4 Hg 0.8746 0.3746 0.5000  1 Hg 3.01
5 K 0.5360 0.8202 0.7158  3 Hg 3.49-3.69
6 Hg 0.5000 0.8746 0.3746  1 Hg 3.01
7 K 0.1798 0.2842 0.4640  3 Hg 3.49-3.69
8 K 0.7158 0.5360 0.8202  3 Hg 3.49-3.69
9 K 0.2842 0.4640 0.1798  3 Hg 3.49-3.69
10 Hg 0.6254 0.5000 0.1254  1 Hg 3.01
11 K 0.8956 0.1798 0.7158  3 Hg 3.49-3.69
12 K 0.8202 0.2842 0.1044  3 Hg 3.49-3.69
13 Hg 0.3746 0.5000 0.8746  1 Hg 3.01
14 Hg 0.5000 0.1254 0.6254  1 Hg 3.01
15 K 0.1798 0.7158 0.8956  3 Hg 3.49-3.69
16 K 0.7158 0.8956 0.1798  3 Hg 3.49-3.69
17 K 0.2842 0.1044 0.8202  3 Hg 3.49-3.69
18 Pb 0.0000 0.0000 0.0000  12 K 4.04
19 Hg 0.1254 0.6254 0.5000  1 Hg 3.01

Output
As for the space group: Im-3. Its energy is -1.14 eV/atom. The density of states at the Fermi level is 15.9 states/eV/f.u.

=====

4.
Computed, not measured: a relaxed Zr2TiPt crystal at the PBE level of DFT.

Unit cell a=3.9811 b=3.9811 c=10.5826 alpha=79.16 beta=79.16 gamma=90.00
Last column: nearest neighbours and their distance in Å.
Atoms (fractional coordinates):
1 Zr 0.6291 0.1250 0.2500  4 Zr 2.79-2.84, 2 Pt 2.91, 2 Ti 2.92
2 Ti 0.2500 0.7500 0.5000  4 Pt 2.82, 4 Zr 2.92
3 Pt 0.7500 0.2500 0.5000  4 Ti 2.82, 4 Zr 2.91
4 Zr 0.3750 0.3709 0.7500  4 Zr 2.79-2.84, 2 Pt 2.91, 2 Ti 2.92
5 Zr 0.1209 0.6250 0.2500  4 Zr 2.79-2.84, 2 Pt 2.91, 2 Ti 2.92
6 Zr 0.8750 0.8791 0.7500  4 Zr 2.79-2.84, 2 Pt 2.91, 2 Ti 2.92
7 Ti 0.5000 0.5000 0.0000  4 Pt 2.82, 4 Zr 2.92
8 Pt 0.0000 0.0000 0.0000  4 Ti 2.82, 4 Zr 2.91

Output
As for the space group: I-42d. As for the energy above the most stable polymorph in this dataset: 516 meV/atom. Its energy is -7.76 eV/atom. The density of states at the Fermi level is 1.9 states/eV/f.u.

=====

5.
Computed, not measured: a relaxed MgGe2I6 crystal at the PBE level of DFT.

Unit cell a=4.2608 b=9.1220 c=9.9826 alpha=107.54 beta=102.32 gamma=90.00
Last column: nearest neighbours and their distance in Å.
Atoms (fractional coordinates):
1 I 0.6585 0.0927 0.3171  1 Mg 2.94, 2 Ge 3.03
2 I 0.3301 0.4284 0.6603  3 Ge 3.03-3.04
3 I 0.3415 0.9073 0.6829  1 Mg 2.94, 2 Ge 3.03
4 Mg 0.5000 0.0000 0.0000  6 I 2.94-2.96
5 I 0.0035 0.2279 0.0070  2 Mg 2.96, 1 Ge 3.02
6 Ge 0.1664 0.3340 0.3328  6 I 3.02-3.04
7 Ge 0.8336 0.6660 0.6672  6 I 3.02-3.04
8 I 0.9965 0.7721 0.9930  2 Mg 2.96, 1 Ge 3.02
9 I 0.6699 0.5716 0.3397  3 Ge 3.03-3.04

Output
As for the space group: C2/m. As for the energy above the most stable polymorph in this dataset: 0 meV/atom. Its energy is -2.80 eV/atom. The density of states at the Fermi level is 0.0 states/eV/f.u.

=====

6.
Computed, not measured: a relaxed KMgTl4 crystal at the PBE level of DFT.

Unit cell a=9.3708 b=9.3708 c=6.2676 alpha=69.12 beta=69.12 gamma=49.21
Last column: nearest neighbours and their distance in Å.
Atoms (fractional coordinates):
1 Tl 0.1959 0.8041 0.0000  2 Mg 2.97, 1 Tl 3.06
2 Tl 0.6767 0.0981 0.6661  2 Mg 3.09-3.43, 3 Tl 3.29-3.35
3 Tl 0.6736 0.6736 0.9038  2 Mg 3.13-3.46, 2 Tl 3.35
4 Mg 0.5349 0.5349 0.6919  5 Tl 2.97-3.13, 1 Mg 3.07
5 Tl 0.8041 0.1959 0.0000  2 Mg 2.97, 1 Tl 3.06
6 K 0.7916 0.7916 0.2808  12 Tl 3.62-4.05
7 Mg 0.4651 0.4651 0.3081  5 Tl 2.97-3.13, 1 Mg 3.07
8 K 0.2084 0.2084 0.7192  12 Tl 3.62-4.05
9 Tl 0.0981 0.6767 0.6661  2 Mg 3.09-3.43, 3 Tl 3.29-3.35
10 Tl 0.3264 0.3264 0.0962  2 Mg 3.13-3.46, 2 Tl 3.35
11 Tl 0.9019 0.3233 0.3339  2 Mg 3.09-3.43, 3 Tl 3.29-3.35
12 Tl 0.3233 0.9019 0.3339  2 Mg 3.09-3.43, 3 Tl 3.29-3.35

Output
As for the space group: C2/m. As for the energy above the most stable polymorph in this dataset: 16 meV/atom. Its energy is -2.06 eV/atom. The density of states at the Fermi level is 2.7 states/eV/f.u.